Here is a relaxed structure of TmBeB2 from Alexandria via LeMat-Bulk. Energies are from PBE.

Calculated values
Uncorrected energy ... -0.215 hartree per atom
DFT formation energy ... -469 meV/atom

POSCAR file:
```
TmBeB2
1.0
-3.077 -0.359 -1.429
-1.611 -3.377 4.317
-2.934 7.171 4.514
Be B Tm
4 8 4
Direct
0.250 0.121 0.564
0.750 0.379 0.064
0.750 0.879 0.436
0.250 0.621 0.936
0.250 0.024 0.332
0.750 0.976 0.668
0.750 0.279 0.669
0.750 0.476 0.832
0.250 0.524 0.168
0.250 0.721 0.331
0.250 0.221 0.169
0.750 0.779 0.831
0.750 0.872 0.135
0.250 0.128 0.865
0.750 0.372 0.365
0.250 0.628 0.635
```